VASP calculation (GGA-PBE) on a relaxed BePAu crystal.

The structure in POSCAR format:
```
BePAu
1.0
-2.053 1.829 -2.425
-1.179 -0.430 3.445
1.763 3.330 1.019
Be P Au
1 1 1
Direct
0.667 0.333 0.499
0.333 0.667 0.500
0.000 0.000 0.000
```

Values from the calculation:
ΔE_f	0.13	eV/atom
E_tot	-4.0059	eV/atom